Model A:
PRuPbS2: relaxed, PBE. Values from VASP.

Results
crystal system	tetragonal
ρ	6.3	Mg/m³
SG	P4/mmm
Fermi-level density of states	4.53	states/eV/cell

Cell and atoms, written as Quantum ESPRESSO input:
```
&SYSTEM
  ibrav = 0, nat = 5, ntyp = 4
/
ATOMIC_SPECIES
Pb 207.20 Pb.upf
S 32.06 S.upf
P 30.97 P.upf
Ru 101.07 Ru.upf
CELL_PARAMETERS angstrom
-3.3242 2.1056 2.9689
-3.6360 -2.1026 -2.5800
0.1456 -3.4830 2.6332
ATOMIC_POSITIONS crystal
Pb 0.5000 0.5000 0.5000
S 0.0000 0.5000 0.0000
S 0.5000 0.0000 0.0000
P 0.0000 0.0000 0.5000
Ru 0.0000 0.0000 0.0000
```

***

Model B:
PRuPbS2: relaxed, PBE. Values from VASP.

Results
crystal system	tetragonal
ρ	5.2	Mg/m³
SG	P4/mmm
Fermi-level density of states	5.99	states/eV/cell

Cell and atoms, written as Quantum ESPRESSO input:
```
&SYSTEM
  ibrav = 0, nat = 5, ntyp = 4
/
ATOMIC_SPECIES
S 32.06 S.upf
Pb 207.20 Pb.upf
P 30.97 P.upf
Ru 101.07 Ru.upf
CELL_PARAMETERS angstrom
5.0441 0.0000 0.0000
0.0000 5.0441 0.0000
0.0000 0.0000 5.0624
ATOMIC_POSITIONS crystal
S 0.0000 0.5000 0.0000
S 0.5000 0.0000 0.0000
Pb 0.0000 0.0000 0.0000
P 0.0000 0.0000 0.5000
Ru 0.5000 0.5000 0.5000
```

***

It turns out model A is the most stable, with the second structure 1440 meV/atom higher.

***

Model A:
PPbS2: relaxed, PBE. Values from VASP.

Results
crystal system	tetragonal
ρ	4.6	Mg/m³
SG	I-42d
Fermi-level density of states	2.20	states/eV/cell

Cell and atoms, written as Quantum ESPRESSO input:
```
&SYSTEM
  ibrav = 0, nat = 8, ntyp = 3
/
ATOMIC_SPECIES
S 32.06 S.upf
P 30.97 P.upf
Pb 207.20 Pb.upf
CELL_PARAMETERS angstrom
5.6094 0.0000 0.0000
0.0000 5.6094 0.0000
2.8047 2.8047 6.8804
ATOMIC_POSITIONS crystal
S 0.3750 0.4593 0.7500
S 0.2093 0.6250 0.2500
S 0.5407 0.1250 0.2500
S 0.8750 0.7907 0.7500
P 0.5000 0.5000 0.0000
P 0.2500 0.7500 0.5000
Pb 0.0000 0.0000 0.0000
Pb 0.7500 0.2500 0.5000
```

***

Model B:
PPbS2: relaxed, PBE. Values from VASP.

Results
crystal system	trigonal
ρ	5.6	Mg/m³
SG	R-3m
Fermi-level density of states	1.21	states/eV/cell

Cell and atoms, written as Quantum ESPRESSO input:
```
&SYSTEM
  ibrav = 0, nat = 4, ntyp = 3
/
ATOMIC_SPECIES
S 32.06 S.upf
Pb 207.20 Pb.upf
P 30.97 P.upf
CELL_PARAMETERS angstrom
2.0124 0.0000 8.5371
-1.0062 1.7428 8.5371
-1.0062 -1.7428 8.5371
ATOMIC_POSITIONS crystal
S 0.1137 0.1137 0.1137
S 0.8863 0.8863 0.8863
Pb 0.0000 0.0000 0.0000
P 0.5000 0.5000 0.5000
```

***

Model C:
PPbS2: relaxed, PBE. Values from VASP.

Results
crystal system	cubic
ρ	6.3	Mg/m³
SG	Fm-3m
Fermi-level density of states	1.87	states/eV/cell

Cell and atoms, written as Quantum ESPRESSO input:
```
&SYSTEM
  ibrav = 0, nat = 4, ntyp = 3
/
ATOMIC_SPECIES
S 32.06 S.upf
Pb 207.20 Pb.upf
P 30.97 P.upf
CELL_PARAMETERS angstrom
1.7154 -4.1400 -1.8172
-2.4029 -2.2708 -3.5290
1.8148 -0.1053 -4.4810
ATOMIC_POSITIONS crystal
S 0.2500 0.2500 0.2500
S 0.7500 0.7500 0.7500
Pb 0.5000 0.5000 0.5000
P 0.0000 0.0000 0.0000
```

***

It turns out model B is the most stable, with the second structure 142 meV/atom higher.